Entry from Alexandria: a geometry-optimized Pr2MnCdO5 structure (PBE+U).

Cell: 6.8889 6.8889 5.7572 Å, 90.00 90.00 90.00°
Positions (direct):
Pr1 0.1781 0.3219 0.0000
Pr2 0.3219 0.8219 0.0000
Pr3 0.6781 0.1781 0.0000
Pr4 0.8219 0.6781 0.0000
Mn1 0.0000 0.5000 0.5000
Mn2 0.5000 0.0000 0.5000
Cd1 0.0000 0.0000 0.5000
Cd2 0.5000 0.5000 0.5000
O1 0.0000 0.0000 0.0000
O2 0.1319 0.6319 0.2564
O3 0.1319 0.6319 0.7436
O4 0.3681 0.1319 0.2564
O5 0.3681 0.1319 0.7436
O6 0.5000 0.5000 0.0000
O7 0.6319 0.8681 0.2564
O8 0.6319 0.8681 0.7436
O9 0.8681 0.3681 0.2564
O10 0.8681 0.3681 0.7436

Results
SG = No. 127
Calculated density = 6.4 g/cm3
Electronic total energy = -6.9387 eV per atom
Calculated volume = 273.2 Å³ per cell